[1]
Below is a geometry-optimized Co5Te3 structure, with properties calculated at the PBE-GGA level.

CIF file:
```
data_Co5Te3
_chemical_formula_sum 'Co5 Te3'
_symmetry_space_group_name_H-M 'P 1'
_symmetry_Int_Tables_number 1
_cell_length_a 5.638
_cell_length_b 5.638
_cell_length_c 3.983
_cell_angle_alpha 90.00
_cell_angle_beta 90.00
_cell_angle_gamma 104.03
loop_
_symmetry_equiv_pos_as_xyz
'x,y,z'
loop_
_atom_site_label
_atom_site_fract_x
_atom_site_fract_y
_atom_site_fract_z
Co1 0.000 0.000 0.000
Co2 0.272 0.272 0.500
Co3 0.500 0.000 0.000
Co4 0.728 0.728 0.500
Co5 0.000 0.500 0.000
Te1 0.190 0.810 0.500
Te2 0.500 0.500 0.000
Te3 0.810 0.190 0.500
```

Calculated values
Raw formation energy in eV/atom: 0.294
ΔE to the lowest computed polymorph in meV per atom: 118
Space group: No. 65
Total moment in μB/cell: 5.23

=====

[2]
Below is a geometry-optimized CoTe2 structure, with properties calculated at the PBE-GGA level.

CIF file:
```
data_CoTe2
_chemical_formula_sum 'Co2 Te4'
_symmetry_space_group_name_H-M 'P 1'
_symmetry_Int_Tables_number 1
_cell_length_a 7.890
_cell_length_b 7.890
_cell_length_c 5.593
_cell_angle_alpha 90.00
_cell_angle_beta 90.00
_cell_angle_gamma 153.00
loop_
_symmetry_equiv_pos_as_xyz
'x,y,z'
loop_
_atom_site_label
_atom_site_fract_x
_atom_site_fract_y
_atom_site_fract_z
Te1 0.422 0.578 0.250
Te2 0.648 0.352 0.250
Te3 0.352 0.648 0.750
Te4 0.578 0.422 0.750
Co1 0.029 0.971 0.250
Co2 0.971 0.029 0.750
```

Calculated values
Raw formation energy in eV/atom: 0.113
Space group: No. 63
Total moment in μB/cell: 0.49

=====

[3]
Below is a geometry-optimized CoTe2 structure, with properties calculated at the PBE-GGA level.

CIF file:
```
data_CoTe2
_chemical_formula_sum 'Co1 Te2'
_symmetry_space_group_name_H-M 'P 1'
_symmetry_Int_Tables_number 1
_cell_length_a 5.338
_cell_length_b 5.338
_cell_length_c 2.988
_cell_angle_alpha 90.00
_cell_angle_beta 90.00
_cell_angle_gamma 120.00
loop_
_symmetry_equiv_pos_as_xyz
'x,y,z'
loop_
_atom_site_label
_atom_site_fract_x
_atom_site_fract_y
_atom_site_fract_z
Co1 0.000 0.000 0.000
Te1 0.667 0.333 0.500
Te2 0.333 0.667 0.500
```

Calculated values
Raw formation energy in eV/atom: 0.958
Space group: No. 191
Total moment in μB/cell: 1.77

=====

[4]
Below is a geometry-optimized CoTe structure, with properties calculated at the PBE-GGA level.

CIF file:
```
data_CoTe
_chemical_formula_sum 'Co4 Te4'
_symmetry_space_group_name_H-M 'P 1'
_symmetry_Int_Tables_number 1
_cell_length_a 7.144
_cell_length_b 7.144
_cell_length_c 3.553
_cell_angle_alpha 90.00
_cell_angle_beta 90.00
_cell_angle_gamma 90.00
loop_
_symmetry_equiv_pos_as_xyz
'x,y,z'
loop_
_atom_site_label
_atom_site_fract_x
_atom_site_fract_y
_atom_site_fract_z
Co1 0.372 0.628 0.000
Co2 0.628 0.372 0.000
Co3 0.872 0.872 0.500
Co4 0.128 0.128 0.500
Te1 0.207 0.793 0.500
Te2 0.293 0.293 0.000
Te3 0.707 0.707 0.000
Te4 0.793 0.207 0.500
```

Calculated values
Raw formation energy in eV/atom: 0.067
Space group: No. 136
Total moment in μB/cell: 0.00